(1)
DFT (PBE) results for a relaxed TaAs2Os crystal.

Values from the calculation:
The total energy comes out at -8.161 eV per atom. The value obtained for the size of the total moment is 0.000 μB/f.u. The formation energy comes out at -0.066 eV/atom.

Structure (extended XYZ):
```
4
Lattice="3.060 0.000 0.000 0.000 4.613 0.000 0.000 0.000 4.555" Properties=species:S:1:pos:R:3 pbc="T T T"
Ta 0.000 0.000 0.000
As 0.000 2.306 3.306
As 1.530 0.000 2.212
Os 1.530 2.306 0.987
```

=====

(2)
DFT (PBE) results for a relaxed HgWAu2 crystal.

Values from the calculation:
The total energy comes out at -4.646 eV per atom. The value obtained for the size of the total moment is 0.000 μB/f.u. The formation energy comes out at 0.306 eV/atom.

Structure (extended XYZ):
```
4
Lattice="2.904 0.000 0.000 0.000 2.904 0.000 0.000 0.000 8.665" Properties=species:S:1:pos:R:3 pbc="T T T"
Hg 0.000 0.000 0.000
W 0.000 0.000 4.332
Au 1.452 1.452 2.353
Au 1.452 1.452 6.312
```

=====

(3)
DFT (PBE) results for a relaxed CoNiIr2Rh crystal.

Values from the calculation:
The total energy comes out at -6.093 eV per atom. The value obtained for the size of the total moment is 4.780 μB/f.u. The formation energy comes out at 1.499 eV/atom.

Structure (extended XYZ):
```
5
Lattice="4.433 0.000 0.000 0.000 4.433 0.000 0.000 0.000 4.401" Properties=species:S:1:pos:R:3 pbc="T T T"
Co 0.000 0.000 0.000
Ni 2.217 2.217 2.200
Ir 0.000 2.217 0.000
Ir 2.217 0.000 0.000
Rh 0.000 0.000 2.200
```

=====

(4)
DFT (PBE) results for a relaxed Zr2CdAg crystal.

Values from the calculation:
The total energy comes out at -5.174 eV per atom. The value obtained for the size of the total moment is 0.000 μB/f.u. The formation energy comes out at 0.042 eV/atom.

Structure (extended XYZ):
```
4
Lattice="1.518 0.876 10.556 -1.518 0.876 10.556 0.000 -1.753 10.556" Properties=species:S:1:pos:R:3 pbc="T T T"
Zr 0.000 0.000 0.000
Zr 0.000 0.000 5.407
Cd 0.000 0.000 23.811
Ag 0.000 0.000 18.544
```